A relaxed structure of La3AuN. Source: Alexandria, functional PBE.

POSCAR file:
```
La3AuN
1.0
-3.9689 5.9984 -0.2808
-3.0621 -6.2596 1.5849
1.3011 -3.1534 6.2802
La Au N
6 2 2
direct
0.5341 0.6859 0.1077
0.0351 0.9906 0.8030
0.0959 0.1329 0.2593
0.9937 0.5400 0.6541
0.5963 0.1427 0.2504
0.4941 0.5375 0.6575
0.0500 0.5688 0.2248
0.5495 0.1077 0.6858
0.2933 0.3384 0.9554
0.7934 0.8383 0.4554
```

Properties
E above lowest polymorph: 18 meV/atom
formation energy from raw total energies: -893 meV/atom
mass density: 8.05 g cm⁻³